1.
{
  "formula": "AcGdPuTh",
  "functional": "PBE",
  "state": "relaxed",
  "lattice": [[0.000, 4.069, 4.069], [4.069, 0.000, 4.069], [4.069, 4.069, 0.000]],
  "species": ["Ac", "Gd", "Pu", "Th"],
  "fractional_positions": [[0.000, 0.000, 0.000], [0.250, 0.250, 0.250], [0.750, 0.750, 0.750], [0.500, 0.500, 0.500]],
  "sg": "F-43m, No. 216",
  "formation_energy_ev_per_atom": 0.241,
  "energy_ev_per_atom": -9.74
}



2.
{
  "formula": "K2MnHg",
  "functional": "PBE",
  "state": "relaxed",
  "lattice": [[1.917, 1.107, 11.725], [-1.917, 1.107, 11.725], [0.000, -2.214, 11.725]],
  "species": ["K", "K", "Mn", "Hg"],
  "fractional_positions": [[0.250, 0.250, 0.250], [0.750, 0.750, 0.750], [0.500, 0.500, 0.500], [0.000, 0.000, 0.000]],
  "sg": "R-3m, No. 166",
  "formation_energy_ev_per_atom": 0.567,
  "energy_ev_per_atom": -2.35
}